1.
Material: MnAgOs2
Method: DFT, meta-GGA SCAN
State: PBEsol geometry

Cell and atoms, written as CIF:
```
data_MnAgOs2
_chemical_formula_sum 'Mn1 Ag1 Os2'
_cell_length_a 2.7289
_cell_length_b 2.7289
_cell_length_c 7.7367
_cell_angle_alpha 90.00
_cell_angle_beta 90.00
_cell_angle_gamma 90.00
_symmetry_space_group_name_H-M 'P 4 m m'
_symmetry_Int_Tables_number 99
loop_
_symmetry_equiv_pos_as_xyz
'x,y,z'
'-y,x,z'
'-x,-y,z'
'y,-x,z'
'-x,y,z'
'y,x,z'
'x,-y,z'
'-y,-x,z'
loop_
_atom_site_label
_atom_site_type_symbol
_atom_site_fract_x
_atom_site_fract_y
_atom_site_fract_z
Mn1 Mn 0.0000 0.0000 0.0000
Ag1 Ag 0.5000 0.5000 0.7425
Os1 Os 0.0000 0.0000 0.4654
Os2 Os 0.5000 0.5000 0.2392
```

Values from the calculation:
The size of the total moment is 4.04 μB/cell. The value obtained for the formation enthalpy at 0 K is 0.204 eV per atom. For the energy relative to the lowest polymorph listed for this composition, the calculation gives 0 meV per atom. The value obtained for the final energy is -48.142 eV per atom.

=====

2.
Material: MnAgOs2
Method: DFT, meta-GGA SCAN
State: PBEsol geometry

Cell and atoms, written as CIF:
```
data_MnAgOs2
_chemical_formula_sum 'Mn1 Ag1 Os2'
_cell_length_a 4.6749
_cell_length_b 2.7266
_cell_length_c 4.6764
_cell_angle_alpha 90.00
_cell_angle_beta 109.14
_cell_angle_gamma 90.00
_symmetry_space_group_name_H-M 'P 1 2/m 1'
_symmetry_Int_Tables_number 10
loop_
_symmetry_equiv_pos_as_xyz
'x,y,z'
'-x,-y,-z'
'-x,y,-z'
'x,-y,z'
loop_
_atom_site_label
_atom_site_type_symbol
_atom_site_fract_x
_atom_site_fract_y
_atom_site_fract_z
Mn1 Mn 0.0000 0.0000 0.0000
Ag1 Ag 0.0000 0.5000 0.5000
Os1 Os 0.5000 0.0000 0.5000
Os2 Os 0.5000 0.5000 0.0000
```

Values from the calculation:
The size of the total moment is 3.34 μB/cell. The value obtained for the formation enthalpy at 0 K is 0.344 eV per atom. For the energy relative to the lowest polymorph listed for this composition, the calculation gives 140 meV per atom. The value obtained for the final energy is -48.002 eV per atom.

=====

3.
Material: MnAgOs2
Method: DFT, meta-GGA SCAN
State: PBEsol geometry

Cell and atoms, written as CIF:
```
data_MnAgOs2
_chemical_formula_sum 'Mn4 Ag4 Os8'
_cell_length_a 6.0663
_cell_length_b 6.0663
_cell_length_c 6.0663
_cell_angle_alpha 90.00
_cell_angle_beta 90.00
_cell_angle_gamma 90.00
_symmetry_space_group_name_H-M 'F m -3 m'
_symmetry_Int_Tables_number 225
_symmetry_space_group_name_Hall '-F 4 2 3'
loop_
_atom_site_label
_atom_site_type_symbol
_atom_site_fract_x
_atom_site_fract_y
_atom_site_fract_z
Mn1 Mn 0.0000 0.0000 0.0000
Ag1 Ag 0.0000 0.0000 0.5000
Os1 Os 0.2500 0.2500 0.2500
```

Values from the calculation:
The size of the total moment is 10.87 μB/cell. The value obtained for the formation enthalpy at 0 K is 0.662 eV per atom. For the energy relative to the lowest polymorph listed for this composition, the calculation gives 459 meV per atom. The value obtained for the final energy is -47.683 eV per atom.

=====

4.
Material: MnAgOs2
Method: DFT, meta-GGA SCAN
State: PBEsol geometry

Cell and atoms, written as CIF:
```
data_MnAgOs2
_chemical_formula_sum 'Mn1 Ag1 Os2'
_cell_length_a 2.8050
_cell_length_b 4.5193
_cell_length_c 4.5670
_cell_angle_alpha 90.00
_cell_angle_beta 90.00
_cell_angle_gamma 90.00
_symmetry_space_group_name_H-M 'P m m m'
_symmetry_Int_Tables_number 47
loop_
_symmetry_equiv_pos_as_xyz
'x,y,z'
'-x,-y,-z'
'-x,-y,z'
'x,y,-z'
'x,-y,-z'
'-x,y,z'
'-x,y,-z'
'x,-y,z'
loop_
_atom_site_label
_atom_site_type_symbol
_atom_site_fract_x
_atom_site_fract_y
_atom_site_fract_z
Mn1 Mn 0.0000 0.0000 0.0000
Ag1 Ag 0.5000 0.5000 0.0000
Os1 Os 0.0000 0.5000 0.5000
Os2 Os 0.5000 0.0000 0.5000
```

Values from the calculation:
The size of the total moment is 4.38 μB/cell. The value obtained for the formation enthalpy at 0 K is 0.463 eV per atom. For the energy relative to the lowest polymorph listed for this composition, the calculation gives 259 meV per atom. The value obtained for the final energy is -47.883 eV per atom.

=====

5.
Material: MnAgOs2
Method: DFT, meta-GGA SCAN
State: PBEsol geometry

Cell and atoms, written as CIF:
```
data_MnAgOs2
_chemical_formula_sum 'Mn3 Ag3 Os6'
_cell_length_a 2.6893
_cell_length_b 2.6893
_cell_length_c 26.6906
_cell_angle_alpha 90.00
_cell_angle_beta 90.00
_cell_angle_gamma 120.00
_symmetry_space_group_name_H-M 'R 3 m'
_symmetry_Int_Tables_number 160
_symmetry_space_group_name_Hall 'R 3 -2"'
loop_
_atom_site_label
_atom_site_type_symbol
_atom_site_fract_x
_atom_site_fract_y
_atom_site_fract_z
Mn1 Mn 0.0000 0.0000 0.0000
Ag1 Ag 0.0000 0.0000 0.2484
Os1 Os 0.0000 0.0000 0.4907
Os2 Os 0.0000 0.0000 0.7430
```

Values from the calculation:
The size of the total moment is 9.13 μB/cell. The value obtained for the formation enthalpy at 0 K is 0.275 eV per atom. For the energy relative to the lowest polymorph listed for this composition, the calculation gives 71 meV per atom. The value obtained for the final energy is -48.070 eV per atom.

=====

6.
Material: MnAg4Os
Method: DFT, meta-GGA SCAN
State: PBEsol geometry

Cell and atoms, written as CIF:
```
data_MnAg4Os
_chemical_formula_sum 'Mn4 Ag16 Os4'
_cell_length_a 7.3480
_cell_length_b 7.3480
_cell_length_c 7.3480
_cell_angle_alpha 90.00
_cell_angle_beta 90.00
_cell_angle_gamma 90.00
_symmetry_space_group_name_H-M 'F -4 3 m'
_symmetry_Int_Tables_number 216
_symmetry_space_group_name_Hall 'F -4 2 3'
loop_
_atom_site_label
_atom_site_type_symbol
_atom_site_fract_x
_atom_site_fract_y
_atom_site_fract_z
Mn1 Mn 0.0000 0.0000 0.0000
Ag1 Ag 0.1249 0.1249 0.3751
Os1 Os 0.2500 0.2500 0.7500
```

Values from the calculation:
The size of the total moment is 18.92 μB/cell. The value obtained for the formation enthalpy at 0 K is 0.717 eV per atom. The value obtained for the final energy is -35.217 eV per atom.

=====

7.
Material: TiMn2AgOs
Method: DFT, meta-GGA SCAN
State: PBEsol geometry

Cell and atoms, written as CIF:
```
data_TiMn2AgOs
_chemical_formula_sum 'Ti1 Mn2 Ag1 Os1'
_cell_length_a 4.3824
_cell_length_b 4.3824
_cell_length_c 4.4918
_cell_angle_alpha 90.00
_cell_angle_beta 90.00
_cell_angle_gamma 90.00
_symmetry_space_group_name_H-M 'P 4/m m m'
_symmetry_Int_Tables_number 123
_symmetry_space_group_name_Hall '-P 4 2'
loop_
_atom_site_label
_atom_site_type_symbol
_atom_site_fract_x
_atom_site_fract_y
_atom_site_fract_z
Ti1 Ti 0.0000 0.0000 0.0000
Mn1 Mn 0.0000 0.5000 0.0000
Ag1 Ag 0.5000 0.5000 0.5000
Os1 Os 0.0000 0.0000 0.5000
```

Values from the calculation:
The size of the total moment is 6.51 μB/cell. The value obtained for the formation enthalpy at 0 K is 1.147 eV per atom. The value obtained for the final energy is -30.011 eV per atom.

=====

8.
Material: MnAgP2
Method: DFT, meta-GGA SCAN
State: PBEsol geometry

Cell and atoms, written as CIF:
```
data_MnAgP2
_chemical_formula_sum 'Mn1 Ag1 P2'
_cell_length_a 4.5974
_cell_length_b 4.5974
_cell_length_c 2.7524
_cell_angle_alpha 90.00
_cell_angle_beta 90.00
_cell_angle_gamma 90.00
_symmetry_space_group_name_H-M 'P 4/m m m'
_symmetry_Int_Tables_number 123
_symmetry_space_group_name_Hall '-P 4 2'
loop_
_atom_site_label
_atom_site_type_symbol
_atom_site_fract_x
_atom_site_fract_y
_atom_site_fract_z
Mn1 Mn 0.0000 0.0000 0.0000
Ag1 Ag 0.5000 0.5000 0.0000
P1 P 0.0000 0.5000 0.5000
```

Values from the calculation:
The size of the total moment is 3.79 μB/cell. The value obtained for the formation enthalpy at 0 K is 0.186 eV per atom. The value obtained for the final energy is -17.418 eV per atom.

=====

Please write out number 7 again, unchanged.
Material: TiMn2AgOs
Method: DFT, meta-GGA SCAN
State: PBEsol geometry

Cell and atoms, written as CIF:
```
data_TiMn2AgOs
_chemical_formula_sum 'Ti1 Mn2 Ag1 Os1'
_cell_length_a 4.3824
_cell_length_b 4.3824
_cell_length_c 4.4918
_cell_angle_alpha 90.00
_cell_angle_beta 90.00
_cell_angle_gamma 90.00
_symmetry_space_group_name_H-M 'P 4/m m m'
_symmetry_Int_Tables_number 123
_symmetry_space_group_name_Hall '-P 4 2'
loop_
_atom_site_label
_atom_site_type_symbol
_atom_site_fract_x
_atom_site_fract_y
_atom_site_fract_z
Ti1 Ti 0.0000 0.0000 0.0000
Mn1 Mn 0.0000 0.5000 0.0000
Ag1 Ag 0.5000 0.5000 0.5000
Os1 Os 0.0000 0.0000 0.5000
```

Values from the calculation:
The size of the total moment is 6.51 μB/cell. The value obtained for the formation enthalpy at 0 K is 1.147 eV per atom. The value obtained for the final energy is -30.011 eV per atom.